Compound: AlGaCuTc
Source: Alexandria
Functional: PBE-GGA
Structure: relaxed

The total energy comes out at -5.42 eV/atom. For the formation energy, the calculation gives -0.12 eV per atom.

The space group is F-43m (No. 216) and the conventional cell measures 6.053, 6.053 and 6.053 Å, with angles of 90.00, 90.00 and 90.00 degrees. The inequivalent atoms are Al at (0.000, 0.000, 0.000), Ga at (0.000, 0.000, 0.500), Cu at (0.250, 0.250, 0.250) and Tc at (0.250, 0.250, 0.750).